1.
DFT (GGA-PBE) results for crystalline KHfAsO5 at its relaxed geometry.

Cell: 5.961 5.961 7.678 Å, 105.20 105.20 105.13°
Fractional coordinates of all 16 atoms:
K (0.328, 0.672, 0.250)
K (0.672, 0.328, 0.750)
Hf (0.000, 0.000, 0.500)
Hf (0.000, 0.000, 0.000)
As (0.686, 0.314, 0.250)
As (0.314, 0.686, 0.750)
O (0.059, 0.941, 0.250)
O (0.941, 0.059, 0.750)
O (0.875, 0.296, 0.114)
O (0.125, 0.704, 0.886)
O (0.704, 0.125, 0.386)
O (0.296, 0.875, 0.614)
O (0.767, 0.615, 0.402)
O (0.233, 0.385, 0.598)
O (0.385, 0.233, 0.098)
O (0.615, 0.767, 0.902)

E_form (uncorrected) = -2282.2 meV per atom


2.
DFT (GGA-PBE) results for crystalline KHfAs2O8 at its relaxed geometry.

Cell: 5.500 5.500 7.708 Å, 90.00 90.00 120.00°
Last column: magnetic moment on the atom in μB.
Fractional coordinates of all 12 atoms:
K (0.000, 0.000, 0.000)  0.00
Hf (0.000, 0.000, 0.500)  0.00
As (0.667, 0.333, 0.267)  -0.01
As (0.333, 0.667, 0.733)  -0.01
O (0.333, 0.667, 0.956)  0.33
O (0.336, 0.237, 0.338)  0.04
O (0.763, 0.099, 0.338)  0.04
O (0.667, 0.333, 0.044)  0.33
O (0.237, 0.901, 0.662)  0.04
O (0.664, 0.763, 0.662)  0.04
O (0.099, 0.336, 0.662)  0.04
O (0.901, 0.664, 0.338)  0.04

E_form (uncorrected) = -1798.7 meV per atom


3.
DFT (GGA-PBE) results for crystalline K2Hf2As2P at its relaxed geometry.

Cell: 4.845 4.845 9.110 Å, 105.42 105.42 90.00°
Fractional coordinates of all 7 atoms:
K (0.186, 0.186, 0.372)
K (0.814, 0.814, 0.628)
Hf (0.000, 0.500, 0.000)
Hf (0.500, 0.000, 0.000)
As (0.396, 0.396, 0.792)
As (0.604, 0.604, 0.208)
P (0.000, 0.000, 0.000)

DFT formation energy = -0.629 eV/atom


4.
DFT (GGA-PBE) results for crystalline KHfAs2Rh at its relaxed geometry.

Cell: 5.180 4.462 5.180 Å, 90.00 90.00 90.00°
Fractional coordinates of all 5 atoms:
Rh (0.000, 0.500, 0.000)
As (0.000, 0.000, 0.500)
As (0.500, 0.000, 0.000)
Hf (0.500, 0.500, 0.500)
K (0.000, 0.000, 0.000)

DFT formation energy = 1.617 eV/atom


5.
DFT (GGA-PBE) results for crystalline KHfAs2S8 at its relaxed geometry.

Cell: 6.231 6.231 9.028 Å, 90.00 90.00 120.00°
Last column: magnetic moment on the atom in μB.
Fractional coordinates of all 12 atoms:
K (0.000, 0.000, 0.000)  0.00
Hf (0.000, 0.000, 0.500)  -0.01
As (0.667, 0.333, 0.271)  -0.01
As (0.333, 0.667, 0.729)  -0.01
S (0.333, 0.667, 0.969)  0.26
S (0.324, 0.337, 0.334)  0.03
S (0.663, 0.987, 0.334)  0.03
S (0.667, 0.333, 0.031)  0.26
S (0.337, 0.013, 0.666)  0.03
S (0.676, 0.663, 0.666)  0.03
S (0.987, 0.324, 0.666)  0.03
S (0.013, 0.676, 0.334)  0.03

E_form (uncorrected) = -420.5 meV per atom


6.
DFT (GGA-PBE) results for crystalline K2HfAsS at its relaxed geometry.

Cell: 5.666 4.899 5.666 Å, 90.00 90.00 90.00°
Last column: magnetic moment on the atom in μB.
Fractional coordinates of all 5 atoms:
S (0.000, 0.000, 0.000)  -0.04
As (0.500, 0.500, 0.500)  -0.16
Hf (0.000, 0.500, 0.000)  0.74
K (0.000, 0.000, 0.500)  0.01
K (0.500, 0.000, 0.000)  0.01

E_form (uncorrected) = -48.3 meV per atom


7.
DFT (GGA-PBE) results for crystalline K2HfAsS4 at its relaxed geometry.

Cell: 5.526 7.720 12.716 Å, 85.54 77.45 69.03°
Fractional coordinates of all 16 atoms:
K (0.173, 0.000, 0.653)
K (0.827, 0.000, 0.347)
K (0.577, 0.500, 0.847)
K (0.923, 0.500, 0.153)
Hf (0.750, 0.500, 0.500)
Hf (0.000, 0.000, 0.000)
As (0.250, 0.500, 0.500)
As (0.500, 0.000, 0.000)
S (0.271, 0.787, 0.117)
S (0.176, 0.213, 0.883)
S (0.942, 0.787, 0.883)
S (0.611, 0.213, 0.117)
S (0.479, 0.713, 0.383)
S (0.574, 0.287, 0.617)
S (0.808, 0.713, 0.617)
S (0.139, 0.287, 0.383)

E_form (uncorrected) = -846.1 meV per atom


8.
DFT (GGA-PBE) results for crystalline KHfAs2Se at its relaxed geometry.

Cell: 5.097 5.305 5.097 Å, 90.00 90.00 90.00°
Fractional coordinates of all 5 atoms:
As (0.000, 0.000, 0.500)
As (0.500, 0.000, 0.000)
Hf (0.500, 0.500, 0.500)
K (0.000, 0.000, 0.000)
Se (0.000, 0.500, 0.000)

E_form (uncorrected) = 1403.9 meV per atom
Polymorph energy (0 for the lowest one) = 1.893 eV per atom